A plane-wave DFT calculation with GGA+U was carried out for a relaxed structure of K4La3CoO8.

```
data_K4La3CoO8
_chemical_formula_sum 'K8 La6 Co2 O16'
_cell_length_a 13.148
_cell_length_b 6.963
_cell_length_c 7.326
_cell_angle_alpha 90.00
_cell_angle_beta 119.51
_cell_angle_gamma 90.00
_space_group_name_H-M_alt 'C 1 2/m 1'
_space_group_IT_number 12
_space_group_name_Hall '-C 2y'
loop_
_atom_site_label
_atom_site_type_symbol
_atom_site_fract_x
_atom_site_fract_y
_atom_site_fract_z
K1 K 0.000 0.000 0.000
K2 K 0.000 0.500 0.000
K3 K 0.250 0.250 0.000
La1 La 0.000 0.000 0.500
La2 La 0.250 0.250 0.500
Co1 Co 0.000 0.500 0.500
O1 O 0.027 0.298 0.345
O2 O 0.213 0.000 0.690
O3 O 0.215 0.000 0.260
```

Summary:
E, eV/atom: -6.19
Spin magnetization, μB per formula unit: 2.0